10
Lattice="1.994 -9.723 0.000 1.994 9.723 0.000 0.000 0.000 3.441" Properties=species:S:1:pos:R:3 comment="Sr2Co3O5, relaxed, DFT GGA+U" magmom_total_mub_per_fu=8.4 e_tot_ha_per_atom=-0.21806 relative_energy_ev_per_fu=0.35 pbc="T T T"
Co 0.000 0.000 1.720
Co 1.994 -5.848 1.720
Co 1.994 5.848 1.720
O 1.994 -7.730 1.720
O 1.994 -3.937 1.720
O 1.994 0.000 1.720
O 1.994 3.937 1.720
O 1.994 7.730 1.720
Sr 1.994 -2.015 0.000
Sr 1.994 2.015 0.000

10
Lattice="5.338 5.540 7.718 3.224 9.258 4.761 -6.291 -7.614 -4.605" Properties=species:S:1:pos:R:3 comment="Sr3Co2O5, relaxed, DFT GGA+U" magmom_total_mub_per_fu=6.0 e_tot_ha_per_atom=-0.22063 relative_energy_ev_per_fu=0.00 pbc="T T T"
Co 3.452 5.967 5.032
Co 5.109 8.831 7.447
O 2.624 4.536 3.825
O 4.281 7.399 6.240
O 5.938 10.262 8.654
O 2.983 4.942 6.599
O -0.712 2.242 1.275
Sr 0.000 0.000 0.000
Sr 1.614 2.790 2.353
Sr 6.948 12.008 10.126

14
Lattice="2.733 -6.109 0.000 2.733 6.109 0.000 0.000 0.000 5.465" Properties=species:S:1:pos:R:3 comment="Sr2CoO4, relaxed, DFT GGA+U" magmom_total_mub_per_fu=2.4 e_tot_ha_per_atom=-0.22119 relative_energy_ev_per_fu=0.00 pbc="T T T"
Co 0.000 0.000 0.000
Co 2.733 0.000 2.732
O 2.733 -4.195 0.016
O 1.366 -0.009 1.366
O 4.099 -0.009 1.366
O 2.733 1.914 2.717
O 2.733 -1.914 2.748
O 1.366 0.009 4.099
O 4.099 0.009 4.099
O 2.733 4.195 5.449
Sr 2.733 1.713 0.003
Sr 2.733 -4.396 2.729
Sr 2.733 4.396 2.736
Sr 2.733 -1.713 5.462

39
Lattice="0.000 0.000 -7.644 -5.428 -5.428 3.822 -5.428 5.428 -3.822" Properties=species:S:1:pos:R:3 comment="Sr8Co8O23, relaxed, DFT GGA+U" magmom_total_mub_per_fu=26.6 e_tot_ha_per_atom=-0.21949 pbc="T T T"
Co 0.000 0.000 -1.830
Co 0.000 0.000 -5.814
Co -2.714 -2.714 1.911
Co -2.714 -2.714 -1.911
Co -2.714 2.714 -1.911
Co -2.714 2.714 -5.733
Co -5.428 0.000 -1.911
Co -5.428 0.000 -5.733
O 0.000 0.000 -3.822
O -1.277 -1.277 -1.662
O -1.277 -1.277 -5.982
O -2.534 -2.534 -3.822
O -2.894 -2.894 0.000
O -4.151 -4.151 2.160
O -4.151 -4.151 -2.160
O -1.277 1.277 -1.662
O -1.277 1.277 -5.982
O -4.022 -1.406 -1.911
O -4.022 -1.406 -5.733
O -2.534 2.534 -3.822
O -5.428 0.000 0.000
O -5.428 0.000 -3.822
O -4.022 1.406 -1.911
O -4.022 1.406 -5.733
O -6.833 -1.406 -1.911
O -6.833 -1.406 -5.733
O -2.894 2.894 -7.644
O -6.833 1.406 -1.911
O -6.833 1.406 -5.733
O -4.151 4.151 -5.484
O -4.151 4.151 -9.804
Sr -5.428 -2.770 0.000
Sr -2.658 0.000 -3.822
Sr -2.819 0.000 0.000
Sr -5.428 -2.609 -3.822
Sr -5.428 2.609 -3.822
Sr -8.037 0.000 0.000
Sr -5.428 2.770 -7.644
Sr -8.198 0.000 -3.822

5
Lattice="3.817 0.000 0.000 0.000 3.817 0.000 0.000 0.000 3.817" Properties=species:S:1:pos:R:3 comment="SrCoO3, relaxed, DFT GGA+U" magmom_total_mub_per_fu=3.2 e_tot_ha_per_atom=-0.21689 pbc="T T T"
Co 0.000 0.000 0.000
O 1.908 0.000 0.000
O 0.000 1.908 0.000
O 0.000 0.000 1.908
Sr 1.908 1.908 1.908

10
Lattice="2.051 -10.126 0.000 2.051 10.126 0.000 0.000 0.000 3.349" Properties=species:S:1:pos:R:3 comment="Sr3Co2O5, relaxed, DFT GGA+U" magmom_total_mub_per_fu=6.0 e_tot_ha_per_atom=-0.21835 relative_energy_ev_per_fu=0.62 pbc="T T T"
Co 2.051 -1.970 0.000
Co 2.051 1.970 0.000
O 2.051 -8.181 0.000
O 2.051 -3.880 0.000
O 2.051 0.000 0.000
O 2.051 3.880 0.000
O 2.051 8.181 0.000
Sr 0.000 0.000 1.674
Sr 2.051 -6.350 1.674
Sr 2.051 6.350 1.674